Entry from Alexandria: a geometry-optimized NaGa4Ge3O12 structure (PBE).

Unit cell a=6.492 b=6.492 c=6.492 alpha=109.47 beta=109.47 gamma=109.47
Atoms (fractional coordinates):
Na 0.000 0.000 0.000
Ga 0.000 0.000 0.500
Ga 0.000 0.500 0.000
Ga 0.500 0.000 0.000
Ga 0.500 0.500 0.500
Ge 0.000 0.500 0.500
Ge 0.500 0.000 0.500
Ge 0.500 0.500 0.000
O 0.144 0.321 0.823
O 0.177 0.498 0.321
O 0.177 0.856 0.679
O 0.321 0.177 0.498
O 0.321 0.823 0.144
O 0.498 0.321 0.177
O 0.502 0.679 0.823
O 0.679 0.177 0.856
O 0.679 0.823 0.502
O 0.823 0.144 0.321
O 0.823 0.502 0.679
O 0.856 0.679 0.177

Computed properties:
Space-group type = Im-3
Energy relative to the elements, uncorrected = -1.507 eV/atom
E_tot = -5.846 eV per atom